[1]
Material: NaHg2MoOs
Method: DFT, PBE
State: optimized geometry

a = 4.775 Å, b = 4.775 Å, c = 4.912 Å
α = 90.00°, β = 90.00°, γ = 90.00°
Atoms (fractional coordinates):
Na 0.000 0.000 0.000
Hg 0.000 0.500 0.000
Hg 0.500 0.000 0.000
Mo 0.000 0.000 0.500
Os 0.500 0.500 0.500

Summary:
raw total energy: -12.7 eV/cell
energy of formation from the pure elements: 2252 meV/atom
N(E_F): 0.801 states/eV/atom
spin magnetization: 4.783 μB per cell
theoretical density: 10.53 Mg/m³

***

[2]
Material: NaHgMo2Os
Method: DFT, PBE
State: optimized geometry

a = 4.542 Å, b = 4.542 Å, c = 4.535 Å
α = 90.00°, β = 90.00°, γ = 90.00°
Atoms (fractional coordinates):
Na 0.000 0.000 0.000
Hg 0.000 0.000 0.500
Mo 0.000 0.500 0.000
Mo 0.500 0.000 0.000
Os 0.500 0.500 0.500

Summary:
raw total energy: -21.2 eV/cell
energy of formation from the pure elements: 2664 meV/atom
N(E_F): 1.344 states/eV/atom
spin magnetization: 2.053 μB per cell
theoretical density: 10.75 Mg/m³